Entry from Alexandria via LeMat-Bulk: CaTc2Os at its PBEsol-relaxed geometry (meta-GGA SCAN).

```
data_CaTc2Os
_chemical_formula_sum 'Ca1 Tc2 Os1'
_cell_length_a 3.022
_cell_length_b 4.529
_cell_length_c 4.558
_cell_angle_alpha 90.00
_cell_angle_beta 90.00
_cell_angle_gamma 90.00
_symmetry_space_group_name_H-M 'P 1'
_symmetry_Int_Tables_number 1
loop_
_symmetry_equiv_pos_as_xyz
'x,y,z'
loop_
_atom_site_label
_atom_site_fract_x
_atom_site_fract_y
_atom_site_fract_z
Ca1 0.000 0.000 0.000
Tc1 0.000 0.500 0.500
Tc2 0.500 0.000 0.500
Os1 0.500 0.500 0.000
```

Computed properties:
Crystal system: orthorhombic
ΔE_f: 62 kJ/mol of atoms
Symmetry: Pmmm (47)
Raw total energy: -37.273 eV/atom
Total moment: 0.00 μB per cell